# Mn2Re2Br | the Alexandria database | PBE-GGA | optimized geometry
data_Mn2Re2Br
_chemical_formula_sum 'Mn2 Re2 Br1'
_space_group_name_H-M_alt 'P 1'
_space_group_IT_number 1
_space_group_name_Hall 'P 1'
_cell_length_a 8.0933
_cell_length_b 8.0933
_cell_length_c 8.0933
_cell_angle_alpha 154.47
_cell_angle_beta 154.47
_cell_angle_gamma 36.42
loop_
_atom_site_label
_atom_site_type_symbol
_atom_site_fract_x
_atom_site_fract_y
_atom_site_fract_z
Mn1 Mn 0.1187 0.1187 0.0000
Mn2 Mn 0.8813 0.8813 0.0000
Re1 Re 0.2500 0.7500 0.5000
Re2 Re 0.7500 0.2500 0.5000
Br1 Br 0.5000 0.5000 0.0000
# energy above the lowest structure with this stoichiometry: 0 meV per atom
# electronic total energy: -8.365 eV per atom
# ΔE_f (raw): 0.617 eV/atom
# SG: I4/mmm (139)
# total magnetization: 7.6 μB/cell

# Rb2ZrCuBr6 | the Alexandria database | PBE-GGA | optimized geometry
data_Rb2ZrCuBr6
_chemical_formula_sum 'Rb2 Zr1 Cu1 Br6'
_space_group_name_H-M_alt 'P 1'
_space_group_IT_number 1
_space_group_name_Hall 'P 1'
_cell_length_a 7.6547
_cell_length_b 7.6547
_cell_length_c 7.6547
_cell_angle_alpha 60.00
_cell_angle_beta 60.00
_cell_angle_gamma 60.00
loop_
_atom_site_label
_atom_site_type_symbol
_atom_site_fract_x
_atom_site_fract_y
_atom_site_fract_z
Rb1 Rb 0.2500 0.2500 0.2500
Rb2 Rb 0.7500 0.7500 0.7500
Zr1 Zr 0.0000 0.0000 0.0000
Cu1 Cu 0.5000 0.5000 0.5000
Br1 Br 0.2516 0.2516 0.7484
Br2 Br 0.2516 0.7484 0.2516
Br3 Br 0.2516 0.7484 0.7484
Br4 Br 0.7484 0.2516 0.2516
Br5 Br 0.7484 0.2516 0.7484
Br6 Br 0.7484 0.7484 0.2516
# electronic total energy: -3.669 eV per atom
# ΔE_f (raw): -1.207 eV/atom
# SG: Fm-3m (225)
# total magnetization: 1.0 μB/cell

# NaNdHfNbO6 | the Alexandria database | PBE-GGA | optimized geometry
data_NaNdHfNbO6
_chemical_formula_sum 'Na1 Nd1 Hf1 Nb1 O6'
_space_group_name_H-M_alt 'P 1'
_space_group_IT_number 1
_space_group_name_Hall 'P 1'
_cell_length_a 5.7575
_cell_length_b 5.7575
_cell_length_c 5.7575
_cell_angle_alpha 60.00
_cell_angle_beta 60.00
_cell_angle_gamma 60.00
loop_
_atom_site_label
_atom_site_type_symbol
_atom_site_fract_x
_atom_site_fract_y
_atom_site_fract_z
Na1 Na 0.0000 0.0000 0.0000
Nd1 Nd 0.5000 0.5000 0.5000
Hf1 Hf 0.7500 0.7500 0.7500
Nb1 Nb 0.2500 0.2500 0.2500
O1 O 0.0020 0.0020 0.4980
O2 O 0.0020 0.4980 0.0020
O3 O 0.0020 0.4980 0.4980
O4 O 0.4980 0.0020 0.0020
O5 O 0.4980 0.0020 0.4980
O6 O 0.4980 0.4980 0.0020
# electronic total energy: -8.380 eV per atom
# ΔE_f (raw): -2.794 eV/atom
# SG: F-43m (216)
# total magnetization: 0.0 μB/cell

# LaCuO3 | the Alexandria database | PBE-GGA | optimized geometry
data_LaCuO3
_chemical_formula_sum 'La2 Cu2 O6'
_space_group_name_H-M_alt 'P 1'
_space_group_IT_number 1
_space_group_name_Hall 'P 1'
_cell_length_a 6.7382
_cell_length_b 6.7382
_cell_length_c 6.7382
_cell_angle_alpha 49.75
_cell_angle_beta 49.75
_cell_angle_gamma 49.75
loop_
_atom_site_label
_atom_site_type_symbol
_atom_site_fract_x
_atom_site_fract_y
_atom_site_fract_z
La1 La 0.0000 0.0000 0.0000
La2 La 0.5000 0.5000 0.5000
Cu1 Cu 0.2500 0.2500 0.2500
Cu2 Cu 0.7500 0.7500 0.7500
O1 O 0.0676 0.7500 0.4324
O2 O 0.2500 0.5676 0.9324
O3 O 0.4324 0.0676 0.7500
O4 O 0.5676 0.9324 0.2500
O5 O 0.7500 0.4324 0.0676
O6 O 0.9324 0.2500 0.5676
# electronic total energy: -6.567 eV per atom
# ΔE_f (raw): -1.787 eV/atom
# SG: R-3c (167)
# total magnetization: 4.0 μB/cell

# ZrReAg | the Alexandria database | PBE-GGA | optimized geometry
data_ZrReAg
_chemical_formula_sum 'Zr1 Re1 Ag1'
_space_group_name_H-M_alt 'P 1'
_space_group_IT_number 1
_space_group_name_Hall 'P 1'
_cell_length_a 5.1949
_cell_length_b 5.1949
_cell_length_c 5.1949
_cell_angle_alpha 149.92
_cell_angle_beta 129.36
_cell_angle_gamma 60.03
loop_
_atom_site_label
_atom_site_type_symbol
_atom_site_fract_x
_atom_site_fract_y
_atom_site_fract_z
Zr1 Zr 0.0000 0.0000 0.0000
Re1 Re 0.3364 0.3364 0.0000
Ag1 Ag 0.6745 0.6745 0.0000
# energy above the lowest structure with this stoichiometry: 46 meV per atom
# electronic total energy: -7.648 eV per atom
# SG: Imm2 (44)
# total magnetization: 0.0 μB/cell